[1]
Crystalline Cr2OsRh2 at its relaxed geometry, computed with GGA-PBE.

Cell lengths 4.5427, 4.5427, 5.8466 Å; angles 128.61, 128.61, 49.08 degrees
Sites, in units of the cell vectors:
Cr  0.0983  0.0983  0.2960
Cr  0.9017  0.9017  0.7040
Os  0.5000  0.5000  0.5000
Rh  0.3008  0.3008  0.8943
Rh  0.6992  0.6992  0.1057

Values from the calculation:
* V: 13.27 A^3/atom
* VASP energy: -45.03 eV per cell
* DOS(E_F): 6.82 states/eV/cell
* theoretical density: 12.52 g/cm3
* SG: No. 12

***

[2]
Crystalline Cr2OsRh at its relaxed geometry, computed with GGA-PBE.

Cell lengths 4.2480, 4.2480, 4.2480 Å; angles 60.00, 60.00, 60.00 degrees
Sites, in units of the cell vectors:
Cr  0.0000  0.0000  0.0000
Cr  0.2500  0.2500  0.2500
Os  0.5000  0.5000  0.5000
Rh  0.7500  0.7500  0.7500

Values from the calculation:
* V: 13.55 A^3/atom
* VASP energy: -36.57 eV per cell
* DOS(E_F): 5.24 states/eV/cell
* theoretical density: 12.17 g/cm3
* SG: No. 216

***

[3]
Crystalline Cr2OsRh2 at its relaxed geometry, computed with GGA-PBE.

Cell lengths 7.1264, 7.1264, 2.6704 Å; angles 90.00, 90.00, 90.00 degrees
Sites, in units of the cell vectors:
Cr  0.1716  0.3284  0.0000
Cr  0.3284  0.8284  0.0000
Cr  0.6716  0.1716  0.0000
Cr  0.8284  0.6716  0.0000
Os  0.0000  0.0000  0.5000
Os  0.5000  0.5000  0.5000
Rh  0.1276  0.6276  0.5000
Rh  0.3724  0.1276  0.5000
Rh  0.6276  0.8724  0.5000
Rh  0.8724  0.3724  0.5000

Values from the calculation:
* V: 13.56 A^3/atom
* VASP energy: -88.21 eV per cell
* DOS(E_F): 8.47 states/eV/cell
* theoretical density: 12.25 g/cm3
* SG: No. 127

***

[4]
Crystalline Cr4OsRh2 at its relaxed geometry, computed with GGA-PBE.

Cell lengths 7.0159, 7.0159, 7.0159 Å; angles 142.33, 142.33, 54.34 degrees
Sites, in units of the cell vectors:
Cr  0.0000  0.5000  0.5000
Cr  0.1959  0.1959  0.0000
Cr  0.5000  0.0000  0.5000
Cr  0.8041  0.8041  0.0000
Os  0.0000  0.0000  0.0000
Rh  0.3893  0.3893  0.0000
Rh  0.6107  0.6107  0.0000

Values from the calculation:
* V: 18.30 A^3/atom
* VASP energy: -56.99 eV per cell
* DOS(E_F): 7.14 states/eV/cell
* theoretical density: 7.83 g/cm3
* SG: No. 139

***

[5]
Crystalline CrOsRh at its relaxed geometry, computed with GGA-PBE.

Cell lengths 4.2112, 4.2112, 2.6719 Å; angles 90.00, 90.00, 120.00 degrees
Sites, in units of the cell vectors:
Cr  0.0000  0.0000  0.0000
Os  0.6667  0.3333  0.0000
Rh  0.3333  0.6667  0.5000

Values from the calculation:
* V: 13.68 A^3/atom
* VASP energy: -27.83 eV per cell
* DOS(E_F): 3.11 states/eV/cell
* theoretical density: 13.97 g/cm3
* SG: No. 187

***

[6]
Crystalline Cr2OsRh at its relaxed geometry, computed with GGA-PBE.

Cell lengths 2.8266, 2.8266, 6.5274 Å; angles 90.00, 90.00, 90.00 degrees
Sites, in units of the cell vectors:
Cr  0.0000  0.0000  0.0000
Cr  0.5000  0.5000  0.1938
Os  0.0000  0.0000  0.4391
Rh  0.5000  0.5000  0.7396

Values from the calculation:
* V: 13.04 A^3/atom
* VASP energy: -37.35 eV per cell
* DOS(E_F): 4.50 states/eV/cell
* theoretical density: 12.64 g/cm3
* SG: No. 99